Material: Ce2ErThS5
Method: DFT, GGA-PBE
State: optimized geometry

Its formation energy (no corrections) is -1418 meV per atom.

It has space group P4/mmm (No. 123), with a = 4.845 Å, b = 4.845 Å, c = 10.449 Å, α = 90.00°, β = 90.00° and γ = 90.00°. Symmetry generates all atoms from Ce at (0.000, 0.000, 0.197), Er at (0.500, 0.500, 0.000), Th at (0.500, 0.500, 0.500), S at (0.000, 0.000, 0.500), S at (0.000, 0.500, 0.000) and S at (0.500, 0.500, 0.251).

Material: Nd12Cr3N5
Method: DFT, GGA-PBE
State: optimized geometry

Its formation energy (no corrections) is -368 meV per atom.

It has space group Ia-3d (No. 230), with a = 16.090 Å, b = 16.090 Å, c = 16.090 Å, α = 90.00°, β = 90.00° and γ = 90.00°. Symmetry generates all atoms from Nd at (0.036, 0.052, 0.648), Cr at (0.000, 0.250, 0.125), N at (0.000, 0.000, 0.000) and N at (0.000, 0.250, 0.375).

Material: K2Tb2PbO6
Method: DFT, GGA-PBE
State: optimized geometry

Its formation energy (no corrections) is -2246 meV per atom.

It has space group C2/m (No. 12), with a = 5.992 Å, b = 10.393 Å, c = 6.677 Å, α = 90.00°, β = 106.37° and γ = 90.00°. Symmetry generates all atoms from K at (0.000, 0.164, 0.000), Tb at (0.000, 0.334, 0.500), Pb at (0.000, 0.000, 0.500), O at (0.217, 0.167, 0.679) and O at (0.240, 0.500, 0.678).

Material: Cr3C
Method: DFT, GGA-PBE
State: optimized geometry

The offset from the most stable computed form comes out at 881.6 meV/atom.

It has space group R-3m (No. 166, hexagonal axes), with a = 7.3319 Å, b = 7.3319 Å, c = 2.6081 Å, α = 90.00°, β = 90.00° and γ = 120.00°. Symmetry generates all atoms from Cr at (0.0000, 0.5000, 0.0000) and C at (0.0000, 0.0000, 0.0000).

Material: LiNbV2
Method: DFT, GGA-PBE
State: optimized geometry

The offset from the most stable computed form comes out at 297.8 meV/atom.

It has space group I-42d (No. 122), with a = 6.837 Å, b = 6.837 Å, c = 5.133 Å, α = 90.00°, β = 90.00° and γ = 90.00°. Symmetry generates all atoms from Li at (0.000, 0.000, 0.000), Nb at (0.000, 0.000, 0.500) and V at (0.233, 0.250, 0.125).

Material: TlNi3Te
Method: DFT, GGA-PBE
State: optimized geometry

Its formation energy (no corrections) is 568 meV per atom. The offset from the most stable computed form comes out at 0.0 meV/atom.

It has space group Pm-3m (No. 221), with a = 4.732 Å, b = 4.732 Å, c = 4.732 Å, α = 90.00°, β = 90.00° and γ = 90.00°. Symmetry generates all atoms from Tl at (0.000, 0.000, 0.000), Ni at (0.000, 0.500, 0.500) and Te at (0.500, 0.500, 0.500).

Total moment values (in μB per atom) by entry order: 0.459 0.569 0.000 0.000 0.000 0.000.
VASP energy values (in eV per atom) by entry order: -6.361 -6.754 -6.329 -8.735 -6.850 -4.003.
Fermi-level density of states values (in states/eV per cell) by entry order: 19.6 149.8 0.0 12.5 20.0 8.0.